This record from the Alexandria database describes a geometry-optimized ZrTiPt2 structure. The functional is PBE-GGA.

Unit cell a=5.8873 b=5.8873 c=11.6164 alpha=90.00 beta=90.00 gamma=90.00
With the nearest neighbours (Å) after each atom.
Space group I-42d (No. 122)
Asymmetric unit:
Zr 0.0000 0.0000 0.0000 x4  4 Pt 2.62
Ti 0.0000 0.0000 0.5000 x4  4 Pt 2.46
Pt 0.2266 0.2500 0.6250 x8  2 Ti 2.46, 2 Zr 2.62

Values from the calculation:
Its formation energy is -179 meV/atom. For the total magnetic moment, the calculation gives 0.00 μB per formula unit. The calculation puts the density of states at the Fermi level at 6.2 states/eV/cell.